No. 1
VASP calculation (PBE) on Y2ZrCu after structural relaxation.

Unit cell a=3.4069 b=3.4070 c=8.4865 alpha=90.00 beta=90.00 gamma=90.03
Fractional positions:
Y 0.5000 0.5000 0.2813
Y 0.0000 0.0000 0.9471
Cu 0.5000 0.5000 0.7227
Zr 0.0000 0.0000 0.5488

Properties
M_tot in μB per cell: 0.000
Excess energy over the best structure of this formula in the dataset in meV per atom: 28
Crystal system: tetragonal
Calculated formation energy in meV per atom: -35


No. 2
VASP calculation (PBE) on Co3PdPt4 after structural relaxation.

Unit cell a=4.6732 b=5.4566 c=8.8406 alpha=90.00 beta=90.00 gamma=90.00
Each line ends with the local moment (μB).
Fractional positions:
Pt 0.5000 0.7564 0.5000  0.40
Pt 0.8422 0.2468 0.2500  0.39
Pt 0.1578 0.7532 0.7500  0.39
Pt 0.8422 0.7532 0.2500  0.39
Pt 0.1578 0.2468 0.7500  0.39
Pt 0.5000 0.2436 0.0000  0.40
Pt 0.5000 0.2436 0.5000  0.40
Pt 0.5000 0.7564 0.0000  0.40
Co 0.0000 0.0000 0.0000  1.95
Co 0.6704 0.0000 0.7500  1.98
Co 0.6617 0.5000 0.7500  1.98
Co 0.3383 0.5000 0.2500  1.98
Co 0.3296 0.0000 0.2500  1.98
Co 0.0000 0.0000 0.5000  1.95
Pd 0.0000 0.5000 0.0000  0.26
Pd 0.0000 0.5000 0.5000  0.26

Properties
M_tot in μB per cell: 15.214
Crystal system: orthorhombic
Calculated formation energy in meV per atom: -55


No. 3
VASP calculation (PBE) on CuSbSe2 after structural relaxation.

Unit cell a=4.8227 b=4.8227 c=3.5623 alpha=90.00 beta=90.00 gamma=90.14
Fractional positions:
Se 0.5000 0.5000 0.0000
Se 0.0000 0.0000 0.0000
Cu 0.5000 0.0000 0.5000
Sb 0.0000 0.5000 0.5000

Properties
M_tot in μB per cell: 0.000
E_form (uncorrected) in eV/atom: 0.2828
Crystal system: orthorhombic


No. 4
VASP calculation (PBE) on NaRu2N after structural relaxation.

Unit cell a=6.6896 b=6.6896 c=5.3497 alpha=51.30 beta=51.30 gamma=90.00
Fractional positions:
Na 0.0000 0.0000 0.0000
Na 0.7500 0.2500 0.5000
Ru 0.8750 0.7543 0.7500
Ru 0.5043 0.1250 0.2500
Ru 0.3750 0.4957 0.7500
Ru 0.2457 0.6250 0.2500
N 0.2500 0.7500 0.5000
N 0.5000 0.5000 0.0000

Properties
M_tot in μB per cell: 0.000
E_form (uncorrected) in eV/atom: 0.5248
Crystal system: tetragonal


No. 5
VASP calculation (PBE) on Tb2InGa3Rh4 after structural relaxation.

Unit cell a=4.2333 b=4.2333 c=10.5585 alpha=90.00 beta=90.00 gamma=90.00
Fractional positions:
Rh 0.0000 0.0000 0.0000
Rh 0.5000 0.0000 0.6479
Rh 0.5000 0.5000 0.0000
Rh 0.0000 0.5000 0.3521
Ga 0.0000 0.0000 0.5000
Ga 0.0000 0.5000 0.1220
Ga 0.5000 0.0000 0.8780
In 0.5000 0.5000 0.5000
Tb 0.5000 0.0000 0.2302
Tb 0.0000 0.5000 0.7698

Properties
M_tot in μB per cell: 0.000
Crystal system: tetragonal
Calculated formation energy in meV per atom: -729


No. 6
VASP calculation (PBE) on Li5Zn2Au after structural relaxation.

Unit cell a=6.8922 b=6.8922 c=7.3717 alpha=117.87 beta=117.87 gamma=90.00
Fractional positions:
Zn 0.6313 0.1313 0.0000
Zn 0.8687 0.6313 0.0000
Zn 0.3687 0.8687 0.0000
Zn 0.1313 0.3687 0.0000
Li 0.0000 0.0000 0.0000
Li 0.9969 0.4969 0.3191
Li 0.4969 0.3223 0.3191
Li 0.0031 0.5031 0.6809
Li 0.3223 0.8223 0.3191
Li 0.5031 0.6777 0.6809
Li 0.5000 0.5000 0.0000
Li 0.6777 0.1777 0.6809
Li 0.1777 0.0031 0.6809
Li 0.8223 0.9969 0.3191
Au 0.7500 0.7500 0.5000
Au 0.2500 0.2500 0.5000

Properties
M_tot in μB per cell: 0.000
Excess energy over the best structure of this formula in the dataset in meV per atom: 55
Crystal system: tetragonal
Calculated formation energy in meV per atom: -216


No. 7
VASP calculation (PBE) on CsBH6Au after structural relaxation.

Unit cell a=5.5266 b=5.2277 c=5.7102 alpha=89.43 beta=89.23 gamma=54.98
Fractional positions:
H 0.7594 0.5780 0.2093
H 0.4545 0.2983 0.6809
H 0.7452 0.5892 0.7930
H 0.0751 0.5900 0.5018
H 0.3270 0.7092 0.4984
H 0.4549 0.3006 0.3170
Au 0.7499 0.5827 0.5011
Cs 0.0614 0.9083 0.9992
B 0.3724 0.4439 0.4992

Properties
M_tot in μB per cell: 0.000
E in eV/atom: -3.52
Crystal system: triclinic


No. 8
VASP calculation (PBE) on Sm3PaRh3 after structural relaxation.

Unit cell a=4.1674 b=12.3280 c=13.4977 alpha=90.00 beta=90.00 gamma=90.00
Fractional positions:
Sm 0.2500 0.2525 0.1994
Sm 0.7500 0.6819 0.5108
Sm 0.2500 0.8181 0.0108
Sm 0.7500 0.4433 0.9019
Sm 0.2500 0.0567 0.4019
Sm 0.2500 0.3181 0.4892
Sm 0.7500 0.2475 0.6994
Sm 0.2500 0.7525 0.3006
Sm 0.7500 0.7475 0.8006
Sm 0.7500 0.9433 0.5981
Sm 0.7500 0.1819 0.9892
Sm 0.2500 0.5567 0.0981
Rh 0.7500 0.2517 0.3486
Rh 0.7500 0.3992 0.1287
Rh 0.7500 0.4562 0.5805
Rh 0.2500 0.2483 0.8486
Rh 0.7500 0.8992 0.3713
Rh 0.7500 0.7517 0.1514
Rh 0.2500 0.5438 0.4195
Rh 0.7500 0.9562 0.9195
Rh 0.2500 0.7483 0.6514
Rh 0.2500 0.0438 0.0805
Rh 0.2500 0.1008 0.6287
Rh 0.2500 0.6008 0.8713
Pa 0.2500 0.5341 0.6847
Pa 0.7500 0.4659 0.3153
Pa 0.2500 0.0341 0.8153
Pa 0.7500 0.9659 0.1847

Properties
M_tot in μB per cell: 0.000
Crystal system: orthorhombic
Calculated formation energy in meV per atom: -613